Here is an optimized crystal structure of ScCu2Sb from Alexandria. Energies are from GGA-PBE.

Final energy: -19.68 eV/f.u.
Uncorrected formation energy: -100 kJ/mol of formula units

Cell: 4.1982 4.1982 14.4594 Å, 90.00 90.00 120.00°
Closest atoms and distances in Å follow each position.
Space group R3m (No. 160, hexagonal axes)
Unique sites:
Sc  0.0000  0.0000  0.0000  7 Cu 2.90-3.23, 4 Sb 2.99-3.07
Cu  0.0000  0.0000  0.4653  3 Cu 2.45, 3 Sb 2.69
Cu  0.0000  0.0000  0.7764  3 Cu 2.45
Sb  0.0000  0.0000  0.2126  6 Cu 2.69-2.84, 3 Sc 2.99